{
  "formula": "CrGeBiO6",
  "functional": "GGA+U",
  "state": "relaxed",
  "lattice": [[4.7041, 0.0000, 0.0000], [0.0000, 4.7041, 0.0000], [0.0000, 0.0000, 9.3660]],
  "species": ["Cr", "Cr", "Ge", "Ge", "Bi", "Bi", "O", "O", "O", "O", "O", "O", "O", "O", "O", "O", "O", "O"],
  "fractional_positions": [[0.0000, 0.0000, 0.0000], [0.5000, 0.5000, 0.5000], [0.0000, 0.0000, 0.3340], [0.5000, 0.5000, 0.8340], [0.0000, 0.0000, 0.6675], [0.5000, 0.5000, 0.1675], [0.1781, 0.1781, 0.1731], [0.1951, 0.1951, 0.4862], [0.2060, 0.2060, 0.8420], [0.2940, 0.7060, 0.3420], [0.3049, 0.6951, 0.9862], [0.3219, 0.6781, 0.6731], [0.6781, 0.3219, 0.6731], [0.6951, 0.3049, 0.9862], [0.7060, 0.2940, 0.3420], [0.7940, 0.7940, 0.8420], [0.8049, 0.8049, 0.4862], [0.8219, 0.8219, 0.1731]],
  "density_g_cm3": 6.9,
  "e_tot_ev_per_cell": -116.23
}